1.
CeYS2, relaxed, DFT GGA-PBE; density of states at the Fermi level = 1.40 states/eV per atom; space-group type = No. 166; distance to the lowest polymorph of the same formula = 0 meV per atom
1.0
-3.701 0.545 -1.276
-3.022 -1.639 1.951
-2.742 4.993 3.956
S Ce Y
2 1 1
Cartesian
-7.105 2.982 3.514
-2.361 0.917 1.118
-4.733 1.949 2.316
0.000 0.000 0.000

---

2.
Ce2YS5, relaxed, DFT GGA-PBE; density of states at the Fermi level = 1.07 states/eV per atom; space-group type = No. 62
1.0
-5.709 -4.467 1.594
4.219 -6.353 -2.694
4.379 -1.710 10.891
Ce S Y
8 20 4
Cartesian
2.932 -6.746 8.363
2.065 -8.958 0.082
0.823 -3.572 9.710
1.320 -0.615 3.514
3.428 -3.790 2.168
-0.539 -8.741 7.623
-0.043 -5.784 1.428
1.569 -11.915 6.277
0.610 -3.408 2.922
4.760 -8.644 4.517
3.344 -3.837 8.216
-0.155 -9.915 4.928
1.085 -8.205 9.868
3.044 -2.615 4.863
-1.871 -3.886 5.274
2.984 -5.970 5.651
3.579 -6.999 -1.210
-0.456 -8.693 1.575
-0.095 -6.560 4.141
2.279 -9.122 6.869
-2.843 -5.597 2.676
2.675 -6.757 1.912
0.214 -5.774 7.880
-0.690 -5.531 11.002
4.463 -8.870 9.696
-1.574 -3.660 0.095
1.804 -4.326 -0.077
5.732 -6.933 7.115
2.224 -10.597 10.262
0.847 -4.359 5.536
0.665 -1.933 -0.470
2.041 -8.171 4.256

---

3.
CeY2S5, relaxed, DFT GGA-PBE; space-group type = No. 63
1.0
5.323 0.000 0.000
-2.661 6.628 0.000
0.000 0.000 13.245
S Y Ce
10 4 2
Cartesian
0.000 3.173 9.934
2.661 2.492 7.578
0.000 0.623 5.020
0.000 0.623 1.603
2.661 2.492 12.290
2.661 6.005 11.642
2.661 6.005 8.225
2.661 3.456 3.311
0.000 4.136 5.667
0.000 4.136 0.955
2.661 4.719 0.751
2.661 4.719 5.871
0.000 1.909 12.494
0.000 1.909 7.374
0.000 2.636 3.311
2.661 3.992 9.934

---

Number 1: M_tot 0.8 μB per formula unit, raw formation energy -2031.4 meV/atom. Number 2: M_tot 1.0 μB per formula unit, raw formation energy -1956.8 meV/atom. Number 3: M_tot 0.0 μB per formula unit, raw formation energy -1923.6 meV/atom.